Pm2Sn3HgPd4: relaxed, PBE.

Cell: 4.5172 4.5172 11.0196 Å, 90.00 90.00 90.00°
Fractional coordinates of all 10 atoms:
Pm1 0.0000 0.5000 0.2480
Pm2 0.5000 0.0000 0.7520
Sn1 0.0000 0.5000 0.8730
Sn2 0.5000 0.0000 0.1270
Sn3 0.5000 0.5000 0.5000
Hg1 0.0000 0.0000 0.5000
Pd1 0.0000 0.0000 0.0000
Pd2 0.0000 0.5000 0.6403
Pd3 0.5000 0.0000 0.3597
Pd4 0.5000 0.5000 0.0000

Summary:
Magnetic moment (μB per formula unit): 0.00
Raw total energy (eV per atom): -4.93
Theoretical density (g cm⁻³): 9.396
Symmetry: P-4m2

***

PmSnHgPd: relaxed, PBE.

Cell: 5.0586 5.0586 5.0586 Å, 60.00 60.00 60.00°
Fractional coordinates of all 4 atoms:
Pm1 0.0000 0.0000 0.0000
Sn1 0.5000 0.5000 0.5000
Hg1 0.7500 0.7500 0.7500
Pd1 0.2500 0.2500 0.2500

Summary:
Magnetic moment (μB per formula unit): 0.00
Raw total energy (eV per atom): -4.13
Theoretical density (g cm⁻³): 10.354
Symmetry: F-43m

***

TbPmHgPd: relaxed, PBE.

Cell: 5.1902 5.1902 5.1902 Å, 60.00 60.00 60.00°
Fractional coordinates of all 4 atoms:
Tb1 0.0000 0.0000 0.0000
Pm1 0.5000 0.5000 0.5000
Hg1 0.2500 0.2500 0.2500
Pd1 0.7500 0.7500 0.7500

Summary:
Magnetic moment (μB per formula unit): 0.00
Theoretical density (g cm⁻³): 10.261
Distance to the lowest polymorph of the same formula (kcal/mol of atoms): 0.247
Symmetry: F-43m

***

TbPmHgPd: relaxed, PBE.

Cell: 4.7449 5.8904 5.8904 Å, 38.39 90.00 90.00°
Fractional coordinates of all 4 atoms:
Tb1 0.0000 0.0000 0.0000
Pm1 0.5000 0.7176 0.7176
Hg1 0.0000 0.2793 0.2793
Pd1 0.5000 0.4460 0.4460

Summary:
Magnetic moment (μB per formula unit): 0.00
Theoretical density (g cm⁻³): 9.924
Distance to the lowest polymorph of the same formula (kcal/mol of atoms): 0.000
Symmetry: Amm2

***

PmThHgPd: relaxed, PBE.

Cell: 5.2621 5.2621 5.2621 Å, 60.00 60.00 60.00°
Fractional coordinates of all 4 atoms:
Pm1 0.0000 0.0000 0.0000
Th1 0.5000 0.5000 0.5000
Hg1 0.7500 0.7500 0.7500
Pd1 0.2500 0.2500 0.2500

Summary:
Magnetic moment (μB per formula unit): 0.00
Raw total energy (eV per atom): -4.87
Theoretical density (g cm⁻³): 11.025
Symmetry: F-43m

***

PmYHgPd: relaxed, PBE.

Cell: 5.1863 5.1863 5.1863 Å, 60.00 60.00 60.00°
Fractional coordinates of all 4 atoms:
Pm1 0.0000 0.0000 0.0000
Y1 0.5000 0.5000 0.5000
Hg1 0.7500 0.7500 0.7500
Pd1 0.2500 0.2500 0.2500

Summary:
Magnetic moment (μB per formula unit): 0.00
Theoretical density (g cm⁻³): 9.106
Distance to the lowest polymorph of the same formula (kcal/mol of atoms): 0.874
Symmetry: F-43m

***

PmYHgPd: relaxed, PBE.

Cell: 3.6191 3.6191 7.5148 Å, 90.00 90.00 90.00°
Fractional coordinates of all 4 atoms:
Pm1 0.0000 0.0000 0.0000
Y1 0.0000 0.0000 0.4597
Hg1 0.5000 0.5000 0.7192
Pd1 0.5000 0.5000 0.2446

Summary:
Magnetic moment (μB per formula unit): 0.00
Theoretical density (g cm⁻³): 9.125
Distance to the lowest polymorph of the same formula (kcal/mol of atoms): 0.000
Symmetry: P4mm

***

PmZnHgPd: relaxed, PBE.

Cell: 4.8942 4.8942 4.8942 Å, 60.00 60.00 60.00°
Fractional coordinates of all 4 atoms:
Pm1 0.0000 0.0000 0.0000
Zn1 0.2500 0.2500 0.2500
Hg1 0.5000 0.5000 0.5000
Pd1 0.7500 0.7500 0.7500

Summary:
Magnetic moment (μB per formula unit): 0.00
Raw total energy (eV per atom): -3.32
Theoretical density (g cm⁻³): 10.365
Symmetry: F-43m

***

Pr2Hg3Pd5: relaxed, PBE.

Cell: 9.1687 9.1687 9.1687 Å, 102.40 89.14 143.16°
Fractional coordinates of all 20 atoms:
Pr1 0.2112 0.1274 0.3386
Pr2 0.2888 0.6274 0.9162
Pr3 0.7112 0.3726 0.0838
Pr4 0.7888 0.8726 0.6614
Hg1 0.1462 0.3914 0.5376
Hg2 0.2500 0.2500 0.0000
Hg3 0.3538 0.8914 0.2452
Hg4 0.6462 0.1086 0.7548
Hg5 0.7500 0.7500 0.0000
Hg6 0.8538 0.6086 0.4624
Pd1 0.1482 0.8576 0.0059
Pd2 0.2500 0.5040 0.2540
Pd3 0.2500 0.7500 0.5000
Pd4 0.2500 0.9960 0.7460
Pd5 0.3518 0.3576 0.7094
Pd6 0.6482 0.6424 0.2906
Pd7 0.7500 0.0040 0.2540
Pd8 0.7500 0.2500 0.5000
Pd9 0.7500 0.4960 0.7460
Pd10 0.8518 0.1424 0.9941

Summary:
Magnetic moment (μB per formula unit): 0.00
Raw total energy (eV per atom): -4.07
Theoretical density (g cm⁻³): 10.811
Symmetry: Ibam

***

PrHg2Pd3: relaxed, PBE.

Cell: 6.9271 6.9271 5.8241 Å, 90.00 90.00 69.26°
Fractional coordinates of all 12 atoms:
Pr1 0.1683 0.8317 0.7500
Pr2 0.8317 0.1683 0.2500
Hg1 0.2887 0.2887 0.0000
Hg2 0.2887 0.2887 0.5000
Hg3 0.7113 0.7113 0.0000
Hg4 0.7113 0.7113 0.5000
Pd1 0.0542 0.7043 0.2500
Pd2 0.2957 0.9459 0.2500
Pd3 0.4721 0.5279 0.2500
Pd4 0.5279 0.4721 0.7500
Pd5 0.7043 0.0542 0.7500
Pd6 0.9459 0.2957 0.7500

Summary:
Magnetic moment (μB per formula unit): 0.00
Raw total energy (eV per atom): -3.89
Theoretical density (g cm⁻³): 10.945
Symmetry: Cmcm

***

Pr3HgPd5: relaxed, PBE.

Cell: 8.3568 8.3568 8.3568 Å, 118.21 118.21 93.13°
Fractional coordinates of all 18 atoms:
Pr1 0.1287 0.6287 0.7574
Pr2 0.2500 0.2500 0.0000
Pr3 0.3713 0.1287 0.5000
Pr4 0.6287 0.8713 0.5000
Pr5 0.7500 0.7500 0.0000
Pr6 0.8713 0.3713 0.2426
Hg1 0.2500 0.7500 0.5000
Hg2 0.7500 0.2500 0.5000
Pd1 0.0000 0.0000 0.0000
Pd2 0.0564 0.1665 0.5000
Pd3 0.1665 0.6665 0.1101
Pd4 0.3335 0.4436 0.5000
Pd5 0.4436 0.9436 0.1101
Pd6 0.5000 0.5000 0.0000
Pd7 0.5564 0.0564 0.8899
Pd8 0.6665 0.5564 0.5000
Pd9 0.8335 0.3335 0.8899
Pd10 0.9436 0.8335 0.5000

Summary:
Magnetic moment (μB per formula unit): 0.00
Raw total energy (eV per atom): -4.95
Theoretical density (g cm⁻³): 9.068
Symmetry: I4/mcm

***

Pr4Hg3Pd: relaxed, PBE.

Cell: 3.8097 3.8097 15.2488 Å, 90.00 90.00 90.00°
Fractional coordinates of all 8 atoms:
Pr1 0.0000 0.0000 0.1122
Pr2 0.0000 0.0000 0.3706
Pr3 0.0000 0.0000 0.6294
Pr4 0.0000 0.0000 0.8878
Hg1 0.5000 0.5000 0.2438
Hg2 0.5000 0.5000 0.5000
Hg3 0.5000 0.5000 0.7562
Pd1 0.5000 0.5000 0.0000

Summary:
Magnetic moment (μB per formula unit): 0.46
Raw total energy (eV per atom): -3.68
Theoretical density (g cm⁻³): 9.542
Symmetry: P4/mmm